Entry 1:
# C3Se5 | Alexandria | PBE | optimized geometry
# * total magnetic moment: 0.00 μB per cell
# * offset from the most stable computed form: 248 meV per atom
# * density: 2.75 g cm⁻³
# * E_tot: -140.9 eV for the cell shown
data_C3Se5
_cell_length_a 5.907
_cell_length_b 23.239
_cell_length_c 7.625
_cell_angle_alpha 90.00
_cell_angle_beta 96.25
_cell_angle_gamma 90.00
_symmetry_space_group_name_H-M 'C 1 m 1'
_symmetry_Int_Tables_number 8
_symmetry_space_group_name_Hall 'C -2y'
loop_
_atom_site_label
_atom_site_type_symbol
_atom_site_fract_x
_atom_site_fract_y
_atom_site_fract_z
C1 C 0.000 0.000 0.000
C2 C 0.037 0.250 0.774
C3 C 0.124 0.311 0.237
C4 C 0.281 0.000 0.597
Se1 Se 0.171 0.315 0.459
Se2 Se 0.219 0.071 0.661
Se3 Se 0.233 0.000 0.210
Se4 Se 0.308 0.248 0.927
Se5 Se 0.333 0.500 0.209
Se6 Se 0.436 0.427 0.881


Entry 2:
# Nd2Ho3Au2 | Alexandria | PBE | optimized geometry
# * formation energy: -0.50 eV/atom
# * total magnetic moment: 0.00 μB per cell
# * density: 9.82 g cm⁻³
# * E_tot: -66.7 eV for the cell shown
data_Nd2Ho3Au2
_cell_length_a 12.909
_cell_length_b 3.749
_cell_length_c 9.225
_cell_angle_alpha 90.00
_cell_angle_beta 116.94
_cell_angle_gamma 90.00
_symmetry_space_group_name_H-M 'C 1 2/m 1'
_symmetry_Int_Tables_number 12
_symmetry_space_group_name_Hall '-C 2y'
loop_
_atom_site_label
_atom_site_type_symbol
_atom_site_fract_x
_atom_site_fract_y
_atom_site_fract_z
Nd1 Nd 0.151 0.000 0.314
Ho1 Ho 0.000 0.500 0.500
Ho2 Ho 0.115 0.500 0.947
Au1 Au 0.165 0.000 0.735


Entry 3:
# CdReBi2Mo | Alexandria | PBE | optimized geometry
# * formation energy: 2.23 eV/atom
# * total magnetic moment: 5.78 μB per cell
# * offset from the most stable computed form: 583 meV per atom
# * density: 8.96 g cm⁻³
# * E_tot: -20.8 eV for the cell shown
data_CdReBi2Mo
_cell_length_a 5.442
_cell_length_b 5.442
_cell_length_c 5.084
_cell_angle_alpha 90.00
_cell_angle_beta 90.00
_cell_angle_gamma 90.00
_symmetry_space_group_name_H-M 'P 4/m m m'
_symmetry_Int_Tables_number 123
_symmetry_space_group_name_Hall '-P 4 2'
loop_
_atom_site_label
_atom_site_type_symbol
_atom_site_fract_x
_atom_site_fract_y
_atom_site_fract_z
Cd1 Cd 0.000 0.000 0.000
Re1 Re 0.000 0.000 0.500
Bi1 Bi 0.000 0.500 0.000
Mo1 Mo 0.500 0.500 0.500